Record 1
VASP calculation (PBEsol) on a geometry-optimized ErGa3 structure.

a = 4.1706 Å, b = 4.1706 Å, c = 4.1706 Å
α = 90.00°, β = 90.00°, γ = 90.00°
Sites, in units of the cell vectors:
Ga 0.5000 0.5000 0.0000
Ga 0.5000 0.0000 0.5000
Ga 0.0000 0.5000 0.5000
Er 0.0000 0.0000 0.0000

Computed properties:
Calculated formation energy, eV/atom: -0.57
E_tot, eV/atom: -4.31

Record 2
VASP calculation (PBEsol) on a geometry-optimized ErGa3 structure.

a = 4.4764 Å, b = 6.1133 Å, c = 6.1133 Å
α = 120.00°, β = 90.00°, γ = 90.00°
Sites, in units of the cell vectors:
Ga 0.7500 0.2992 0.1496
Ga 0.7500 0.8504 0.7008
Ga 0.7500 0.8504 0.1496
Ga 0.2500 0.7008 0.8504
Ga 0.2500 0.1496 0.2992
Ga 0.2500 0.1496 0.8504
Er 0.2500 0.6667 0.3333
Er 0.7500 0.3333 0.6667

Computed properties:
Calculated formation energy, eV/atom: -0.57
E_tot, eV/atom: -4.31

Record 3
VASP calculation (PBEsol) on a geometry-optimized Er5Ga3 structure.

a = 6.3246 Å, b = 8.3949 Å, c = 8.3949 Å
α = 120.00°, β = 90.00°, γ = 90.00°
Sites, in units of the cell vectors:
Er 0.7500 0.2432 0.0000
Er 0.2500 0.7568 0.0000
Er 0.2500 0.2432 0.2432
Er 0.7500 0.0000 0.2432
Er 0.7500 0.7568 0.7568
Er 0.2500 0.0000 0.7568
Er 0.0000 0.3333 0.6667
Er 0.5000 0.6667 0.3333
Er 0.0000 0.6667 0.3333
Er 0.5000 0.3333 0.6667
Ga 0.7500 0.0000 0.5991
Ga 0.2500 0.5991 0.5991
Ga 0.2500 0.4009 0.0000
Ga 0.7500 0.5991 0.0000
Ga 0.7500 0.4009 0.4009
Ga 0.2500 0.0000 0.4009

Computed properties:
Calculated formation energy, eV/atom: -0.49
E_tot, eV/atom: -4.83

Record 4
VASP calculation (PBEsol) on a geometry-optimized ErGa structure.

a = 3.9615 Å, b = 4.2327 Å, c = 5.7237 Å
α = 68.30°, β = 90.00°, γ = 90.00°
Sites, in units of the cell vectors:
Ga 0.2500 0.5770 0.8459
Ga 0.7500 0.4230 0.1541
Er 0.2500 0.8598 0.2803
Er 0.7500 0.1402 0.7197

Computed properties:
Calculated formation energy, eV/atom: -0.66
E_tot, eV/atom: -4.79

Record 5
VASP calculation (PBEsol) on a geometry-optimized Er3Ga8Ir3 structure.

a = 4.1236 Å, b = 8.0353 Å, c = 8.0353 Å
α = 73.79°, β = 75.13°, γ = 75.13°
Sites, in units of the cell vectors:
Er 0.5000 0.5000 0.5000
Er 0.8309 0.1691 0.1691
Er 0.1691 0.8309 0.8309
Ga 0.6245 0.6594 0.0916
Ga 0.3755 0.3406 0.9084
Ga 0.6245 0.0916 0.6594
Ga 0.3755 0.9084 0.3406
Ga 0.8294 0.5418 0.7993
Ga 0.1706 0.4582 0.2007
Ga 0.8294 0.7993 0.5418
Ga 0.1706 0.2007 0.4582
Ir 0.5000 0.0000 0.0000
Ir 0.0000 0.2207 0.7793
Ir 0.0000 0.7793 0.2207

Computed properties:
Calculated formation energy, eV/atom: -0.69
E_tot, eV/atom: -5.76

Record 6
VASP calculation (PBEsol) on a geometry-optimized ErGaIr structure.

a = 4.2097 Å, b = 6.6913 Å, c = 7.7175 Å
α = 90.00°, β = 90.00°, γ = 90.00°
Sites, in units of the cell vectors:
Ir 0.2500 0.2667 0.6158
Ir 0.7500 0.7333 0.3842
Ir 0.2500 0.7667 0.8842
Ir 0.7500 0.2333 0.1158
Ga 0.2500 0.1523 0.9335
Ga 0.7500 0.8477 0.0665
Ga 0.2500 0.6523 0.5665
Ga 0.7500 0.3477 0.4335
Er 0.2500 0.0265 0.3145
Er 0.7500 0.9735 0.6855
Er 0.2500 0.5265 0.1855
Er 0.7500 0.4735 0.8145

Computed properties:
Calculated formation energy, eV/atom: -0.90
E_tot, eV/atom: -6.93

Record 7
VASP calculation (PBEsol) on a geometry-optimized Er2Ga9Ir3 structure.

a = 7.4750 Å, b = 7.4543 Å, c = 9.3449 Å
α = 90.00°, β = 90.00°, γ = 120.09°
Sites, in units of the cell vectors:
Er 0.6697 0.6723 0.7500
Er 0.3303 0.3277 0.2500
Er 0.9975 0.3277 0.7500
Er 0.0025 0.6723 0.2500
Ga 0.1295 0.0000 0.7500
Ga 0.8705 0.0000 0.2500
Ga 0.3347 0.3352 0.5810
Ga 0.6653 0.6648 0.4190
Ga 0.6653 0.6648 0.0810
Ga 0.9996 0.6648 0.9190
Ga 0.3347 0.3352 0.9190
Ga 0.0004 0.3352 0.0810
Ga 0.0004 0.3352 0.4190
Ga 0.9996 0.6648 0.5810
Ga 0.3321 0.0000 0.0677
Ga 0.6679 0.0000 0.9323
Ga 0.6679 0.0000 0.5677
Ga 0.3321 0.0000 0.4323
Ga 0.5467 0.2076 0.7500
Ga 0.4533 0.7924 0.2500
Ga 0.3391 0.7924 0.7500
Ga 0.6609 0.2076 0.2500
Ir 0.3284 0.6567 0.5000
Ir 0.6716 0.3433 0.5000
Ir 0.6716 0.3433 0.0000
Ir 0.3284 0.6567 0.0000
Ir 0.0000 0.0000 0.5000
Ir 0.0000 0.0000 0.0000

Computed properties:
Calculated formation energy, eV/atom: -0.71
E_tot, eV/atom: -5.66

Record 8
VASP calculation (PBEsol) on a geometry-optimized Er2MgGa structure.

a = 5.0405 Å, b = 5.0405 Å, c = 5.0405 Å
α = 60.00°, β = 60.00°, γ = 60.00°
Sites, in units of the cell vectors:
Mg 0.0000 0.0000 0.0000
Ga 0.5000 0.5000 0.5000
Er 0.7500 0.7500 0.7500
Er 0.2500 0.2500 0.2500

Computed properties:
Calculated formation energy, eV/atom: -0.34
E_tot, eV/atom: -4.07

Record 9
VASP calculation (PBEsol) on a geometry-optimized Er4Ga12Ni structure.

a = 7.2706 Å, b = 7.2706 Å, c = 7.2706 Å
α = 109.47°, β = 109.47°, γ = 109.47°
Sites, in units of the cell vectors:
Er 0.0000 0.5000 0.0000
Er 0.0000 0.0000 0.5000
Er 0.5000 0.5000 0.5000
Er 0.5000 0.0000 0.0000
Ga 0.2500 0.7500 0.5000
Ga 0.2500 0.5000 0.7500
Ga 0.5000 0.2500 0.7500
Ga 0.7500 0.5000 0.2500
Ga 0.7500 0.2500 0.5000
Ga 0.5000 0.7500 0.2500
Ga 0.2872 0.2872 0.0000
Ga 0.7128 0.0000 0.7128
Ga 0.0000 0.2872 0.2872
Ga 0.7128 0.7128 0.0000
Ga 0.2872 0.0000 0.2872
Ga 0.0000 0.7128 0.7128
Ni 0.0000 0.0000 0.0000

Computed properties:
Calculated formation energy, eV/atom: -0.61
E_tot, eV/atom: -4.49

Record 10
VASP calculation (PBEsol) on a geometry-optimized ErGa2Ni3 structure.

a = 4.0107 Å, b = 8.6052 Å, c = 8.6052 Å
α = 120.00°, β = 90.00°, γ = 90.00°
Sites, in units of the cell vectors:
Er 0.5000 0.3333 0.6667
Er 0.5000 0.6667 0.3333
Er 0.0000 0.0000 0.0000
Ga 0.0000 0.5177 0.0000
Ga 0.0000 0.4823 0.4823
Ga 0.0000 0.0000 0.5177
Ga 0.5000 0.2711 0.0000
Ga 0.5000 0.7289 0.7289
Ga 0.5000 0.0000 0.2711
Ni 0.0000 0.1745 0.3723
Ni 0.0000 0.1978 0.8255
Ni 0.0000 0.6277 0.8022
Ni 0.0000 0.8022 0.6277
Ni 0.0000 0.3723 0.1745
Ni 0.0000 0.8255 0.1978
Ni 0.5000 0.7055 0.0000
Ni 0.5000 0.2945 0.2945
Ni 0.5000 0.0000 0.7055

Computed properties:
Calculated formation energy, eV/atom: -0.60
E_tot, eV/atom: -5.61

Record 11
VASP calculation (PBEsol) on a geometry-optimized Er3GaNiS7 structure.

a = 6.0772 Å, b = 9.3113 Å, c = 9.3113 Å
α = 120.00°, β = 90.00°, γ = 90.00°
Site moments in Bohr magnetons follow the coordinates.
Sites, in units of the cell vectors:
Er 0.8226 0.3752 0.1609  0.03
Er 0.8226 0.8391 0.2143  0.03
Er 0.8226 0.7857 0.6248  0.03
Er 0.3226 0.6248 0.8391  0.03
Er 0.3226 0.1609 0.7857  0.03
Er 0.3226 0.2143 0.3752  0.03
Ga 0.8949 0.3333 0.6667  0.00
Ga 0.3949 0.6667 0.3333  0.00
Ni 0.4913 0.0000 0.0000  1.15
Ni 0.9913 0.0000 0.0000  1.15
S 0.5532 0.5213 0.4401  0.02
S 0.5532 0.5599 0.0813  0.02
S 0.5532 0.9187 0.4787  0.02
S 0.0532 0.4787 0.5599  0.02
S 0.0532 0.4401 0.9187  0.02
S 0.0532 0.0813 0.5213  0.02
S 0.5274 0.3333 0.6667  0.01
S 0.0274 0.6667 0.3333  0.01
S 0.7306 0.1034 0.8700  0.14
S 0.7306 0.1300 0.2334  0.14
S 0.7306 0.7666 0.8966  0.14
S 0.2306 0.8966 0.1300  0.14
S 0.2306 0.8700 0.7666  0.14
S 0.2306 0.2334 0.1034  0.14

Computed properties:
E_tot, eV/atom: -6.09

Record 12
VASP calculation (PBEsol) on a geometry-optimized Er2Ga10Os3 structure.

a = 6.2964 Å, b = 8.7809 Å, c = 8.7809 Å
α = 90.00°, β = 90.00°, γ = 90.00°
Sites, in units of the cell vectors:
Er 0.0000 0.6829 0.1829
Er 0.0000 0.3171 0.8171
Er 0.0000 0.8171 0.6829
Er 0.0000 0.1829 0.3171
Ga 0.2923 0.9389 0.2071
Ga 0.2923 0.7071 0.4389
Ga 0.2826 0.5000 0.0000
Ga 0.7077 0.5611 0.7071
Ga 0.7077 0.2929 0.5611
Ga 0.2923 0.7929 0.9389
Ga 0.7077 0.9389 0.2071
Ga 0.2923 0.2929 0.5611
Ga 0.2923 0.0611 0.7929
Ga 0.7077 0.7071 0.4389
Ga 0.7077 0.4389 0.2929
Ga 0.7077 0.0611 0.7929
Ga 0.7077 0.2071 0.0611
Ga 0.7077 0.7929 0.9389
Ga 0.2923 0.2071 0.0611
Ga 0.7174 0.0000 0.5000
Ga 0.2826 0.0000 0.5000
Ga 0.2923 0.5611 0.7071
Ga 0.2923 0.4389 0.2929
Ga 0.7174 0.5000 0.0000
Os 0.5000 0.6786 0.1786
Os 0.5000 0.8214 0.6786
Os 0.5000 0.1786 0.3214
Os 0.0000 0.0000 0.0000
Os 0.5000 0.3214 0.8214
Os 0.0000 0.5000 0.5000

Computed properties:
Calculated formation energy, eV/atom: -0.47
E_tot, eV/atom: -5.80